No. 1
Nd3Zn2Au4 | PBE-GGA | optimized geometry

Cell and atoms, written as POSCAR:
```
Nd3Zn2Au4
1.0
5.398 -2.339 0.000
5.398 2.339 0.000
-3.685 0.000 8.097
Nd Zn Au
3 2 4
Cartesian
0.000 0.000 0.000
2.612 0.000 2.569
4.499 0.000 5.528
1.309 0.000 5.543
5.801 0.000 2.554
-0.620 0.000 3.247
-0.385 0.000 7.547
7.495 0.000 0.550
7.731 0.000 4.850
```

Properties
Formation energy: -6.42 eV per formula unit

---

No. 2
BiB4W | PBE-GGA | optimized geometry

Cell and atoms, written as POSCAR:
```
BiB4W
1.0
3.043 0.000 0.000
-1.521 2.635 0.000
0.000 0.000 8.773
Bi B W
1 4 1
Cartesian
0.000 0.000 0.000
0.000 1.757 2.741
0.000 1.757 6.032
1.521 0.878 2.741
1.521 0.878 6.032
0.000 0.000 4.387
```

---

No. 3
ScAgTeO | PBE-GGA | optimized geometry

Cell and atoms, written as POSCAR:
```
ScAgTeO
1.0
9.859 0.000 0.000
0.000 5.491 0.000
0.000 0.000 5.491
Sc Ag Te O
4 4 4 4
Cartesian
0.932 0.005 1.373
0.932 2.740 4.119
8.928 2.750 1.373
8.928 5.486 4.119
4.894 1.373 0.000
4.894 1.373 2.746
4.966 4.118 0.000
4.966 4.118 2.746
2.740 2.770 1.373
2.740 5.466 4.119
7.120 0.025 1.373
7.120 2.721 4.119
0.001 1.373 0.000
0.001 1.373 2.746
9.858 4.118 0.000
9.858 4.118 2.746
```

---

| no. | total energy (eV/atom) |
| --- | --- |
| 1 | -4.034 |
| 2 | -7.078 |
| 3 | -5.953 |